1.
DFT (GGA-PBE) results for a relaxed structure of LiIn2.

The structure in POSCAR format:
```
LiIn2
1.0
5.754 -1.672 0.000
5.754 1.672 0.000
-2.736 0.000 7.265
Li In
2 4
Direct
0.186 0.186 0.151
0.814 0.814 0.849
0.143 0.143 0.534
0.457 0.457 0.181
0.543 0.543 0.819
0.857 0.857 0.466
```

Computed properties:
Space-group type: C2/m (12)
Size of the total moment, μB per formula unit: 0.000
Total DFT energy (no corrections), eV per atom: -2.60
DOS(E_F), states/eV per cell: 1.85
E_form, meV/atom: -138

2.
DFT (GGA-PBE) results for a relaxed structure of LiIn2.

The structure in POSCAR format:
```
LiIn2
1.0
3.207 0.000 0.000
-1.258 6.253 0.000
-0.228 -2.536 6.849
Li In
2 4
Direct
0.100 0.262 0.023
0.900 0.738 0.977
0.246 0.390 0.668
0.441 0.923 0.704
0.559 0.077 0.296
0.754 0.610 0.332
```

Computed properties:
Space-group type: P-1 (2)
Size of the total moment, μB per formula unit: 0.000
Total DFT energy (no corrections), eV per atom: -2.63
DOS(E_F), states/eV per cell: 1.27
E_form, meV/atom: -164